The following is a PBE calculation of an optimized crystal structure of CaMg2PaO6, from the Alexandria database.

Computed properties:
formation energy without anion corrections = -2.84 eV per atom

The structure in extended XYZ format:
```
10
Lattice="-5.441 0.552 0.900 -3.626 -2.742 -3.170 -2.891 -4.496 2.350" Properties=species:S:1:pos:R:3 pbc="T T T"
Ca -8.988 -4.430 -0.423
Mg -5.988 -3.089 -0.170
Mg -2.898 -4.293 2.183
Pa -3.015 -0.948 -0.577
O -4.947 -1.376 0.358
O -5.250 -3.399 -2.082
O -7.843 -2.278 -0.613
O -6.820 -5.179 -0.169
O -6.658 -3.424 1.951
O -4.356 -4.341 0.742
```



The following is a PBE calculation of an optimized crystal structure of HRu2Rh, from the Alexandria database.

Computed properties:
polymorph energy (0 for the lowest one) = 0.00 eV per formula unit

The structure in extended XYZ format:
```
4
Lattice="2.768 0.002 -0.001 1.385 2.396 -0.001 1.381 0.797 6.675" Properties=species:S:1:pos:R:3 pbc="T T T"
H 2.768 1.598 0.021
Ru 1.381 0.797 5.523
Ru 1.385 0.799 1.132
Rh 2.767 1.598 3.333
```



The following is a PBE calculation of an optimized crystal structure of MnCo2Cu, from the Alexandria database.

Computed properties:
E_form = 15.4 kJ per mole of atoms

The structure in extended XYZ format:
```
4
Lattice="4.693 -0.010 -0.033 -2.146 4.283 0.009 0.400 0.703 2.343" Properties=species:S:1:pos:R:3 pbc="T T T"
Co 0.000 0.000 0.000
Co 2.547 0.347 1.155
Cu -0.873 2.493 1.176
Mn 1.273 2.137 -0.012
```



The following is a PBE calculation of an optimized crystal structure of LiDyIn3, from the Alexandria database.

Computed properties:
E_form = -21.2 kJ per mole of atoms

The structure in extended XYZ format:
```
10
Lattice="-5.161 -1.341 -2.309 3.117 -2.076 -5.763 -1.121 -4.468 5.101" Properties=species:S:1:pos:R:3 pbc="T T T"
Li 0.000 0.000 0.000
Li -2.581 -0.670 -1.155
Dy -0.999 -4.006 0.903
Dy -2.166 -3.879 -3.874
In 1.029 -2.861 -4.294
In -4.194 -5.023 1.323
In 0.541 -4.805 -2.075
In -3.706 -3.079 -0.896
In -0.328 -1.958 -1.787
In -2.838 -5.926 -1.185
```



The following is a PBE calculation of an optimized crystal structure of LaBe2Cr, from the Alexandria database.

Computed properties:
polymorph energy (0 for the lowest one) = 1.53 eV per formula unit
E_form = 56.1 kJ per mole of atoms

The structure in extended XYZ format:
```
8
Lattice="4.157 0.000 0.000 0.000 4.157 0.000 2.079 2.079 8.123" Properties=species:S:1:pos:R:3 pbc="T T T"
Cr 2.079 2.079 0.000
Cr 2.079 4.157 4.061
Be 2.079 1.039 2.031
Be 2.078 3.118 2.031
Be 3.118 4.157 6.092
Be 5.196 4.157 6.092
La 0.000 0.000 0.000
La 4.157 2.079 4.061
```



The following is a PBE calculation of an optimized crystal structure of ReMo, from the Alexandria database.

Computed properties:
polymorph energy (0 for the lowest one) = 0.73 eV per formula unit
E_form = 44.3 kJ per mole of atoms

The structure in extended XYZ format:
```
16
Lattice="7.934 0.000 0.000 0.000 7.934 0.000 0.000 0.000 4.229" Properties=species:S:1:pos:R:3 pbc="T T T"
Re 1.328 1.224 0.000
Re 6.606 6.710 0.000
Re 6.710 1.328 0.000
Re 1.224 6.606 0.000
Re 5.295 5.191 2.115
Re 2.639 2.743 2.115
Re 2.743 5.295 2.115
Re 5.191 2.639 2.115
Mo 3.933 6.410 0.000
Mo 4.001 1.525 0.000
Mo 1.525 3.933 0.000
Mo 6.410 4.001 0.000
Mo 7.900 2.443 2.115
Mo 0.034 5.492 2.115
Mo 5.492 7.900 2.115
Mo 2.443 0.034 2.115
```



The following is a PBE calculation of an optimized crystal structure of Ba4GeCl2, from the Alexandria database.

Computed properties:
formation energy without anion corrections = -1.22 eV per atom

The structure in extended XYZ format:
```
14
Lattice="8.882 -0.719 -2.340 -4.829 7.489 -2.340 0.079 0.133 9.252" Properties=species:S:1:pos:R:3 pbc="T T T"
Ge 5.505 1.418 2.273
Ge 2.038 3.404 -2.353
Ba 1.202 5.557 4.610
Ba -1.163 2.285 2.324
Ba -0.908 2.181 6.881
Ba 0.910 5.601 -0.085
Ba 3.214 1.289 4.665
Ba 4.945 4.710 -2.365
Ba 5.283 4.598 2.261
Ba 3.006 1.323 0.039
Cl 1.921 3.516 2.293
Cl -4.661 7.460 2.299
Cl -1.545 5.505 -2.327
Cl 5.660 1.368 6.919
```



The following is a PBE calculation of an optimized crystal structure of K3SbH, from the Alexandria database.

Computed properties:
polymorph energy (0 for the lowest one) = 0.15 eV per formula unit

The structure in extended XYZ format:
```
10
Lattice="7.574 0.000 0.002 3.786 6.560 -0.001 3.786 -2.183 6.439" Properties=species:S:1:pos:R:3 pbc="T T T"
K 4.691 -1.028 3.114
K 6.678 2.200 6.410
K 8.478 -0.913 6.412
K 4.882 -0.913 6.411
K 6.681 2.419 3.113
K 8.670 -1.028 3.114
Sb 10.469 2.308 3.262
Sb 10.465 2.311 6.262
H 6.680 4.497 4.874
H 6.680 0.123 4.650
```



no.,magnetic moment (Bohr magnetons per cell),DOS at the Fermi energy (states/eV per cell)
1,0.90,8.28
2,0.00,4.53
3,6.52,3.25
4,0.00,3.46
5,0.00,10.57
6,0.00,14.43
7,0.00,8.12
8,0.00,1.40